Record 1
{
  "formula": "AcU4Pd3S12",
  "functional": "PBE-GGA",
  "state": "relaxed",
  "lattice": [[-4.871, 4.871, 4.871], [4.871, -4.871, 4.871], [4.871, 4.871, -4.871]],
  "species": ["Ac", "U", "U", "U", "U", "Pd", "Pd", "Pd", "S", "S", "S", "S", "S", "S", "S", "S", "S", "S", "S", "S"],
  "fractional_positions": [[0.000, 0.000, 0.000], [0.000, 0.000, 0.500], [0.000, 0.500, 0.000], [0.500, 0.000, 0.000], [0.500, 0.500, 0.500], [0.000, 0.500, 0.500], [0.500, 0.000, 0.500], [0.500, 0.500, 0.000], [0.146, 0.304, 0.843], [0.157, 0.461, 0.304], [0.157, 0.854, 0.696], [0.304, 0.157, 0.461], [0.304, 0.843, 0.146], [0.461, 0.304, 0.157], [0.539, 0.696, 0.843], [0.696, 0.157, 0.854], [0.696, 0.843, 0.539], [0.843, 0.146, 0.304], [0.843, 0.539, 0.696], [0.854, 0.696, 0.157]],
  "dos_at_fermi_per_ev_cell": 31.1,
  "spacegroup": "Im-3",
  "raw_formation_energy_ev_per_atom": -1.083
}

***

Record 2
{
  "formula": "Sc4AgPd7",
  "functional": "PBE-GGA",
  "state": "relaxed",
  "lattice": [[5.294, -2.501, 0.000], [5.294, 2.501, 0.000], [-4.804, 0.000, 8.539]],
  "species": ["Sc", "Sc", "Sc", "Sc", "Ag", "Pd", "Pd", "Pd", "Pd", "Pd", "Pd", "Pd"],
  "fractional_positions": [[0.092, 0.092, 0.284], [0.279, 0.279, 0.855], [0.721, 0.721, 0.145], [0.908, 0.908, 0.716], [0.500, 0.500, 0.500], [0.000, 0.000, 0.500], [0.134, 0.134, 0.022], [0.289, 0.289, 0.593], [0.427, 0.427, 0.178], [0.573, 0.573, 0.822], [0.711, 0.711, 0.407], [0.866, 0.866, 0.978]],
  "dos_at_fermi_per_ev_cell": 5.6,
  "ef_mev_per_atom": -535,
  "spacegroup": "C2/m"
}

***

Record 3
{
  "formula": "Ba2FeIr2",
  "functional": "PBE-GGA",
  "state": "relaxed",
  "lattice": [[6.598, 0.000, 0.000], [0.000, 6.598, 0.000], [0.000, 0.000, 5.290]],
  "species": ["Ba", "Ba", "Ba", "Ba", "Fe", "Fe", "Ir", "Ir", "Ir", "Ir"],
  "fractional_positions": [[0.183, 0.317, 0.000], [0.317, 0.817, 0.000], [0.683, 0.183, 0.000], [0.817, 0.683, 0.000], [0.000, 0.000, 0.500], [0.500, 0.500, 0.500], [0.137, 0.637, 0.500], [0.363, 0.137, 0.500], [0.637, 0.863, 0.500], [0.863, 0.363, 0.500]],
  "dos_at_fermi_per_ev_cell": 17.6,
  "ef_mev_per_atom": 402,
  "spacegroup": "P4/mbm"
}

***

Record 4
{
  "formula": "Pm2AgF8",
  "functional": "PBE-GGA",
  "state": "relaxed",
  "lattice": [[3.514, -5.171, 0.000], [3.514, 5.171, 0.000], [-1.555, 0.000, 4.326]],
  "species": ["Pm", "Pm", "Ag", "F", "F", "F", "F", "F", "F", "F", "F"],
  "fractional_positions": [[0.191, 0.809, 0.000], [0.809, 0.191, 0.000], [0.500, 0.500, 0.500], [0.146, 0.422, 0.879], [0.158, 0.158, 0.294], [0.292, 0.708, 0.500], [0.422, 0.146, 0.879], [0.578, 0.854, 0.121], [0.708, 0.292, 0.500], [0.842, 0.842, 0.706], [0.854, 0.578, 0.121]],
  "spacegroup": "C2/m",
  "raw_formation_energy_ev_per_atom": -3.195
}

***

Record 5
{
  "formula": "BaSrZnGa",
  "functional": "PBE-GGA",
  "state": "relaxed",
  "lattice": [[2.264, 1.307, 8.434], [-2.264, 1.307, 8.434], [0.000, -2.614, 8.434]],
  "species": ["Ba", "Sr", "Zn", "Ga"],
  "fractional_positions": [[0.000, 0.000, 0.000], [0.826, 0.826, 0.826], [0.574, 0.574, 0.574], [0.242, 0.242, 0.242]],
  "dos_at_fermi_per_ev_cell": 5.1,
  "ef_mev_per_atom": -282,
  "spacegroup": "R3m"
}

***

Record 6
{
  "formula": "SrLaW2",
  "functional": "PBE-GGA",
  "state": "relaxed",
  "lattice": [[3.004, 0.000, 0.000], [0.000, 5.203, 0.000], [-0.314, 0.000, 6.714]],
  "species": ["Sr", "La", "W", "W"],
  "fractional_positions": [[0.000, 0.000, 0.000], [0.000, 0.000, 0.500], [0.392, 0.500, 0.674], [0.608, 0.500, 0.326]],
  "dos_at_fermi_per_ev_cell": 4.7,
  "ef_mev_per_atom": 1054,
  "spacegroup": "P2/m"
}

***

Record 7
{
  "formula": "Nd3NpN4",
  "functional": "PBE-GGA",
  "state": "relaxed",
  "lattice": [[3.600, -5.045, 0.000], [3.600, 5.045, 0.000], [0.000, 0.000, 3.587]],
  "species": ["Nd", "Nd", "Nd", "Np", "N", "N", "N", "N"],
  "fractional_positions": [[0.000, 0.000, 0.000], [0.000, 0.500, 0.500], [0.500, 0.000, 0.500], [0.500, 0.500, 0.000], [0.272, 0.272, 0.500], [0.273, 0.727, 0.000], [0.727, 0.273, 0.000], [0.728, 0.728, 0.500]],
  "dos_at_fermi_per_ev_cell": 5.9,
  "spacegroup": "Cmmm",
  "raw_formation_energy_ev_per_atom": -1.316
}

***

Record 8
{
  "formula": "AgOs3",
  "functional": "PBE-GGA",
  "state": "relaxed",
  "lattice": [[4.693, 0.000, 0.000], [0.000, 4.693, 0.000], [0.000, 0.000, 2.769]],
  "species": ["Ag", "Os", "Os", "Os"],
  "fractional_positions": [[0.000, 0.000, 0.000], [0.000, 0.500, 0.500], [0.500, 0.000, 0.500], [0.500, 0.500, 0.000]],
  "dos_at_fermi_per_ev_cell": 5.2,
  "ef_mev_per_atom": 952,
  "spacegroup": "P4/mmm"
}

***

Record 9
{
  "formula": "CaSiN2O",
  "functional": "PBE-GGA",
  "state": "relaxed",
  "lattice": [[4.518, 0.000, 0.000], [0.000, 4.518, 0.000], [0.000, 0.000, 4.293]],
  "species": ["Ca", "Si", "N", "N", "O"],
  "fractional_positions": [[0.000, 0.000, 0.000], [0.500, 0.500, 0.500], [0.000, 0.500, 0.000], [0.500, 0.000, 0.000], [0.000, 0.000, 0.500]],
  "dos_at_fermi_per_ev_cell": 3.2,
  "spacegroup": "P4/mmm",
  "raw_formation_energy_ev_per_atom": 1.368
}

***

Record 10
{
  "formula": "Ce3AlTl2",
  "functional": "PBE-GGA",
  "state": "relaxed",
  "lattice": [[3.960, 0.000, 0.000], [0.000, 3.960, 0.000], [0.000, 0.000, 10.559]],
  "species": ["Ce", "Ce", "Ce", "Al", "Tl", "Tl"],
  "fractional_positions": [[0.000, 0.000, 0.000], [0.000, 0.000, 0.370], [0.000, 0.000, 0.630], [0.500, 0.500, 0.500], [0.500, 0.500, 0.187], [0.500, 0.500, 0.813]],
  "dos_at_fermi_per_ev_cell": 16.6,
  "ef_mev_per_atom": -230,
  "spacegroup": "P4/mmm"
}

***

Record 11
{
  "formula": "Y5HoCu4",
  "functional": "PBE-GGA",
  "state": "relaxed",
  "lattice": [[3.486, 0.000, 0.000], [0.000, 3.486, 0.000], [0.000, 0.000, 19.084]],
  "species": ["Y", "Y", "Y", "Y", "Y", "Ho", "Cu", "Cu", "Cu", "Cu"],
  "fractional_positions": [[0.000, 0.000, 0.000], [0.000, 0.000, 0.184], [0.000, 0.000, 0.365], [0.000, 0.000, 0.635], [0.000, 0.000, 0.816], [0.500, 0.500, 0.500], [0.500, 0.500, 0.092], [0.500, 0.500, 0.275], [0.500, 0.500, 0.725], [0.500, 0.500, 0.908]],
  "dos_at_fermi_per_ev_cell": 8.2,
  "ef_mev_per_atom": -183,
  "spacegroup": "P4/mmm"
}

***

Record 12
{
  "formula": "Nd6Te3AsIr2",
  "functional": "PBE-GGA",
  "state": "relaxed",
  "lattice": [[9.681, -2.145, 0.000], [9.681, 2.145, 0.000], [-2.560, 0.000, 8.587]],
  "species": ["Nd", "Nd", "Nd", "Nd", "Nd", "Nd", "Te", "Te", "Te", "As", "Ir", "Ir"],
  "fractional_positions": [[0.014, 0.014, 0.241], [0.324, 0.324, 0.435], [0.336, 0.336, 0.883], [0.664, 0.664, 0.117], [0.676, 0.676, 0.565], [0.986, 0.986, 0.759], [0.162, 0.162, 0.839], [0.500, 0.500, 0.500], [0.838, 0.838, 0.161], [0.500, 0.500, 0.000], [0.168, 0.168, 0.337], [0.832, 0.832, 0.663]],
  "dos_at_fermi_per_ev_cell": 5.0,
  "spacegroup": "C2/m",
  "raw_formation_energy_ev_per_atom": -1.189
}

***

| no. | uncorrected energy (eV/atom) |
| --- | --- |
| 1 | -6.801 |
| 2 | -5.913 |
| 3 | -5.604 |
| 4 | -5.679 |
| 5 | -2.258 |
| 6 | -7.075 |
| 7 | -8.884 |
| 8 | -8.183 |
| 9 | -4.439 |
| 10 | -4.610 |
| 11 | -5.511 |
| 12 | -6.223 |